1.
AcLa2Dy5Tm: optimized geometry, PBE.

Properties
Its formation energy is 2.317 eV per formula unit.

a = 8.802 Å, b = 8.802 Å, c = 10.094 Å
α = 115.85°, β = 115.85°, γ = 90.00°
Sites, in units of the cell vectors:
1 Ac 0.250 0.250 0.500
2 Ac 0.750 0.750 0.500
3 La 0.117 0.383 0.000
4 La 0.617 0.117 0.000
5 La 0.383 0.883 0.000
6 La 0.883 0.617 0.000
7 Dy 0.925 0.425 0.274
8 Dy 0.651 0.151 0.726
9 Dy 0.075 0.575 0.726
10 Dy 0.151 0.075 0.726
11 Dy 0.575 0.651 0.726
12 Dy 0.849 0.925 0.274
13 Dy 0.425 0.349 0.274
14 Dy 0.349 0.849 0.274
15 Dy 0.500 0.500 0.000
16 Dy 0.000 0.000 0.000
17 Tm 0.250 0.750 0.500
18 Tm 0.750 0.250 0.500

=====

2.
AcLaDy2Tm: optimized geometry, PBE.

Properties
Its formation energy is 0.241 eV per formula unit.

a = 5.877 Å, b = 6.394 Å, c = 9.847 Å
α = 70.94°, β = 90.00°, γ = 90.00°
Sites, in units of the cell vectors:
1 Ac 0.750 0.571 0.196
2 Ac 0.250 0.429 0.804
3 La 0.750 0.359 0.599
4 La 0.250 0.641 0.401
5 Dy 0.750 0.774 0.799
6 Dy 0.250 0.226 0.201
7 Dy 0.250 0.033 0.598
8 Dy 0.750 0.967 0.402
9 Tm 0.250 0.837 0.997
10 Tm 0.750 0.163 0.003